A plane-wave DFT calculation with GGA-PBEsol was carried out for a relaxed CrInO3 crystal.

Its density is 6.8 Mg/m³. The calculation puts the final energy at -7.517 eV per atom. Its raw formation energy is -1722 meV per atom.

The structure belongs to space group Pnma (No. 62); the cell edges are 5.358, 7.547 and 5.160 Å and the angles 90.00°, 90.00° and 90.00°. The inequivalent atoms are Cr at (0.000, 0.000, 0.000), In at (0.061, 0.250, 0.479), O at (0.055, 0.750, 0.123) and O at (0.198, 0.566, 0.694).